This record from the Alexandria database describes a geometry-optimized Ac2In2Ag3 structure. The functional is PBE.

Cell lengths 8.1189, 8.1189, 8.1189 Å; angles 109.47, 109.47, 109.47 degrees
Element x y z (fractional)
In  0.5000  0.9204  0.5000
Ag  0.7733  0.7500  0.0233
Ag  0.5233  0.2733  0.7500
In  0.0796  0.5796  0.5796
Ag  0.7267  0.2500  0.4767
Ac  0.0195  0.5000  0.0000
Ag  0.9767  0.2267  0.2500
Ac  0.0000  0.0000  0.5195
Ag  0.2500  0.0233  0.2733
Ac  0.5000  0.5195  0.5000
In  0.4204  0.5000  0.0000
In  0.0000  0.0000  0.9204
Ag  0.7500  0.4767  0.2267
Ac  0.4805  0.9805  0.9805

Properties
formation enthalpy at 0 K = -0.181 eV/atom
energy above the most stable polymorph in this dataset = 0.1388 eV per atom

=====

This record from the Alexandria database describes a geometry-optimized Na2TlInBr6 structure. The functional is PBE.

Cell lengths 7.5251, 7.5239, 8.1406 Å; angles 62.46, 62.44, 59.96 degrees
Element x y z (fractional)
In  0.3276  0.3276  0.0172
Br  0.7125  0.1434  0.7681
Br  0.2487  0.9557  0.2311
Br  0.5642  0.2488  0.2312
Br  0.3760  0.7123  0.7679
Br  0.9555  0.5646  0.2311
Na  0.0032  0.0035  0.9903
Na  0.5196  0.5194  0.4416
Tl  0.8103  0.8103  0.5687
Br  0.1438  0.3761  0.7680

Properties
uncorrected formation energy = -1110 meV/atom

=====

Number 1: DOS(E_F) 4.75 states/eV/f.u.. Number 2: DOS(E_F) 0.00 states/eV/f.u..